Ag7Sn2Au2 PBE relaxed; total DFT energy (no corrections) = -3.1015 eV/atom; density = 10.6 g/cm³; space group = No. 12; energy of formation from the pure elements = 0.037 eV/atom
1.0
-2.413 -4.491 0.397
5.304 -0.845 -4.297
4.232 0.588 5.390
Ag Sn Au
7 2 2
Direct
0.160 0.410 0.923
0.840 0.077 0.590
0.840 0.590 0.077
0.160 0.923 0.410
0.198 0.406 0.406
0.000 0.000 0.000
0.802 0.594 0.594
0.423 0.771 0.771
0.577 0.229 0.229
0.500 0.220 0.780
0.500 0.780 0.220



Ag3SnAu7 PBE relaxed; total DFT energy (no corrections) = -3.1467 eV/atom; density = 13.5 g/cm³; space group = No. 12; energy of formation from the pure elements = 0.080 eV/atom
1.0
5.107 -0.099 -0.127
-2.438 6.705 0.300
-2.438 -1.334 6.577
Ag Sn Au
3 1 7
Direct
0.000 0.769 0.231
0.500 0.000 0.000
0.000 0.231 0.769
0.500 0.500 0.500
0.173 0.175 0.175
0.330 0.072 0.588
0.670 0.412 0.928
0.330 0.588 0.072
0.000 0.500 0.500
0.670 0.928 0.412
0.827 0.825 0.825



Ag8SnAu2 PBE relaxed; total DFT energy (no corrections) = -2.9108 eV/atom; ΔE to the lowest computed polymorph = 0.133 eV/atom; density = 9.9 g/cm³; space group = No. 12; energy of formation from the pure elements = 0.123 eV/atom
1.0
4.860 0.460 0.349
0.673 7.321 0.778
0.673 2.720 6.842
Ag Sn Au
8 1 2
Direct
0.213 0.384 0.750
0.787 0.250 0.616
0.097 0.766 0.766
0.903 0.234 0.234
0.213 0.750 0.384
0.787 0.616 0.250
0.667 0.643 0.643
0.333 0.357 0.357
0.000 0.000 0.000
0.539 0.874 0.874
0.461 0.126 0.126



AgSn4Au2 PBE relaxed; total DFT energy (no corrections) = -3.7181 eV/atom; density = 9.3 g/cm³; space group = No. 12; energy of formation from the pure elements = -0.087 eV/atom
1.0
-1.352 4.010 1.266
-6.757 -2.054 -0.706
4.090 -2.643 5.036
Ag Sn Au
1 4 2
Direct
0.000 0.000 0.000
0.889 0.252 0.778
0.111 0.748 0.222
0.633 0.295 0.265
0.367 0.705 0.735
0.742 0.760 0.483
0.258 0.240 0.517



Ag3SnAu PBE relaxed; total DFT energy (no corrections) = -2.6225 eV/atom; ΔE to the lowest computed polymorph = 0.515 eV/atom; density = 7.8 g/cm³; space group = No. 221; energy of formation from the pure elements = 0.544 eV/atom
1.0
5.139 0.000 0.000
0.000 5.139 0.000
0.000 0.000 5.139
Au Sn Ag
1 1 3
Direct
0.000 0.000 0.000
0.500 0.500 0.500
0.000 0.500 0.000
0.000 0.000 0.500
0.500 0.000 0.000



Ag4Sn3Au2 PBE relaxed; total DFT energy (no corrections) = -3.3639 eV/atom; density = 10.5 g/cm³; space group = No. 2; energy of formation from the pure elements = -0.034 eV/atom
1.0
-0.889 1.195 4.858
1.689 -3.102 3.720
7.644 3.222 1.936
Ag Sn Au
4 3 2
Direct
0.332 0.328 0.004
0.998 0.446 0.687
0.002 0.554 0.313
0.668 0.672 0.996
0.667 0.128 0.642
0.000 0.000 0.000
0.333 0.872 0.358
0.668 0.232 0.297
0.332 0.768 0.703



AgSn2Au PBE relaxed; total DFT energy (no corrections) = -3.5062 eV/atom; ΔE to the lowest computed polymorph = 0.092 eV/atom; density = 10.0 g/cm³; space group = No. 225; energy of formation from the pure elements = 0.027 eV/atom
1.0
0.000 3.556 3.556
3.556 0.000 3.556
3.556 3.556 0.000
Au Sn Ag
1 2 1
Direct
0.500 0.500 0.500
0.250 0.250 0.250
0.750 0.750 0.750
0.000 0.000 0.000



AgSnAu2 PBE relaxed; total DFT energy (no corrections) = -3.4283 eV/atom; density = 13.0 g/cm³; space group = No. 123; energy of formation from the pure elements = -0.076 eV/atom
1.0
3.638 0.000 0.000
0.000 3.638 0.000
0.000 0.000 5.971
Au Sn Ag
2 1 1
Direct
0.000 0.000 0.760
0.000 0.000 0.240
0.500 0.500 0.500
0.500 0.500 0.000



Ag2SnAu PBE relaxed; total DFT energy (no corrections) = -3.1179 eV/atom; density = 10.2 g/cm³; space group = No. 122; energy of formation from the pure elements = 0.128 eV/atom
1.0
7.832 0.000 0.000
0.000 7.832 0.000
3.916 3.916 2.811
Au Sn Ag
2 2 4
Direct
0.000 0.000 0.000
0.750 0.250 0.500
0.500 0.500 0.000
0.250 0.750 0.500
0.633 0.125 0.250
0.117 0.625 0.250
0.375 0.367 0.750
0.875 0.883 0.750



AgSnAu14 PBE relaxed; total DFT energy (no corrections) = -3.3098 eV/atom; density = 16.9 g/cm³; space group = No. 123; energy of formation from the pure elements = -0.014 eV/atom
1.0
-3.715 4.570 -0.757
-0.843 -1.622 -5.650
-6.394 -4.812 2.335
Ag Sn Au
1 1 14
Direct
0.375 0.375 0.500
0.875 0.875 0.500
0.875 0.875 0.000
0.375 0.375 0.000
0.875 0.375 0.500
0.875 0.375 0.000
0.375 0.875 0.500
0.375 0.875 0.000
0.623 0.127 0.247
0.623 0.127 0.753
0.127 0.623 0.247
0.127 0.623 0.753
0.623 0.623 0.247
0.623 0.623 0.753
0.127 0.127 0.247
0.127 0.127 0.753



Ag14SnAu PBE relaxed; total DFT energy (no corrections) = -2.9349 eV/atom; density = 10.4 g/cm³; space group = No. 38; energy of formation from the pure elements = 0.015 eV/atom
1.0
5.886 -0.379 0.000
-2.656 5.266 0.000
0.000 0.000 9.763
Ag Sn Au
14 1 1
Direct
0.210 0.790 0.000
0.710 0.290 0.000
0.038 0.461 0.500
0.209 0.290 0.000
0.539 0.962 0.500
0.710 0.791 0.000
0.377 0.125 0.755
0.377 0.125 0.245
0.875 0.623 0.755
0.875 0.623 0.245
0.376 0.624 0.753
0.376 0.624 0.247
0.875 0.125 0.755
0.875 0.125 0.245
0.038 0.962 0.500
0.540 0.460 0.500



AgSn6Au3 PBE relaxed; total DFT energy (no corrections) = -3.7348 eV/atom; density = 9.6 g/cm³; space group = No. 14; energy of formation from the pure elements = -0.065 eV/atom
1.0
-0.904 -5.447 -5.013
-1.681 -4.354 5.034
-9.052 3.434 -0.052
Ag Sn Au
2 12 6
Direct
0.500 0.500 0.500
0.000 0.000 0.000
0.624 0.135 0.906
0.685 0.146 0.584
0.701 0.534 0.265
0.299 0.466 0.735
0.315 0.854 0.416
0.376 0.865 0.094
0.124 0.365 0.406
0.185 0.354 0.084
0.201 0.966 0.765
0.799 0.034 0.235
0.815 0.646 0.916
0.876 0.635 0.594
0.538 0.813 0.700
0.500 0.500 0.000
0.462 0.187 0.300
0.038 0.687 0.200
0.000 0.000 0.500
0.962 0.313 0.800



Look up the total DFT energy (no corrections) of the first one.
-3.1015 eV/atom